Entry 1:
TmZr2Ti | Alexandria via LeMat-Bulk | PBE | relaxed; SG = No. 123
1.0
3.6341 0.0000 0.0000
0.0000 3.6341 0.0000
0.0000 0.0000 7.0201
Ti Zr Tm
1 2 1
Cartesian
1.8171 1.8171 0.0000
0.0000 0.0000 5.5718
0.0000 0.0000 1.4483
1.8171 1.8171 3.5101

Entry 2:
Zn3Rh4 | Alexandria via LeMat-Bulk | PBE | relaxed; SG = No. 191
1.0
2.4247 -4.1997 0.0000
2.4247 4.1997 0.0000
0.0000 0.0000 4.8807
Rh Zn
4 3
Cartesian
0.0000 0.0000 3.6292
0.0000 0.0000 1.2515
2.4247 -1.3999 2.4404
2.4247 1.3999 2.4404
1.2124 2.0999 0.0000
1.2124 -2.0999 0.0000
2.4247 0.0000 0.0000

Entry 3:
La2AlCo | Alexandria via LeMat-Bulk | PBE | relaxed; SG = No. 225
1.0
0.5148 -4.2674 -2.9680
-1.2683 -4.6878 1.9236
-4.2442 -2.4843 -1.7606
La Co Al
2 1 1
Cartesian
-3.7483 -8.5796 -2.1037
-1.2494 -2.8599 -0.7012
-2.4988 -5.7197 -1.4025
0.0000 0.0000 0.0000

Entry 4:
In2SnPb2 | Alexandria via LeMat-Bulk | PBE | relaxed; SG = No. 141
1.0
-1.9669 -4.1638 1.4689
1.5291 0.8661 4.5028
-11.3172 8.0462 -0.2990
Sn Pb In
2 4 4
Cartesian
-5.0035 3.6318 3.5948
-0.2189 -1.6488 2.9858
-8.9778 5.8357 4.5205
-7.5619 4.1935 1.7612
-4.1932 0.5551 3.9115
-1.0293 1.4278 2.6692
-3.9094 2.1679 0.9105
-10.6609 3.2847 2.9884
-7.8457 2.5806 4.7622
-2.8422 -1.0511 1.1673

Table of ΔE_f (eV per atom), in record order: 0.1165 -0.0005 -0.0655 0.0759
Table of E (eV/atom), in record order: -7.249 -4.747 -5.241 -3.303
Table of D(E_F) (states/eV/f.u.), in record order: 5.671 8.957 3.652 2.712